A plane-wave DFT calculation with SCAN was carried out for a crystal of YZnTc2Sn relaxed with PBEsol.

Geometry as extended XYZ:
```
5
Lattice="4.674 0.000 0.000 0.000 4.674 0.000 0.000 0.000 4.661" Properties=species:S:1:pos:R:3 pbc="T T T"
Y 0.000 0.000 0.000
Zn 2.337 2.337 2.331
Tc 0.000 2.337 2.331
Tc 2.337 0.000 2.331
Sn 2.337 2.337 0.000
```

Its formation energy is 0.727 eV/atom.

---

A plane-wave DFT calculation with SCAN was carried out for a crystal of LiSn4Au3 relaxed with PBEsol.

Geometry as extended XYZ:
```
16
Lattice="4.495 0.000 0.000 -2.248 3.893 0.000 0.000 0.000 20.594" Properties=species:S:1:pos:R:3 pbc="T T T"
Li 0.000 2.595 0.000
Li 2.248 1.298 10.297
Sn 0.000 0.000 3.795
Sn 0.000 0.000 8.603
Sn 0.000 0.000 14.092
Sn 0.000 0.000 18.900
Sn 0.000 2.595 6.287
Sn 0.000 2.595 12.097
Sn 2.248 1.298 1.800
Sn 2.248 1.298 16.584
Au 0.000 0.000 1.003
Au 0.000 0.000 11.299
Au 0.000 2.595 15.015
Au 0.000 2.595 17.874
Au 2.248 1.298 4.718
Au 2.248 1.298 7.577
```

Its formation energy is -0.351 eV/atom.

---

A plane-wave DFT calculation with SCAN was carried out for a crystal of LiCaBO3 relaxed with PBEsol.

Geometry as extended XYZ:
```
48
Lattice="6.038 0.000 0.000 0.000 13.171 0.000 0.000 0.000 6.135" Properties=species:S:1:pos:R:3 pbc="T T T"
Li 0.094 3.260 1.283
Li 0.094 3.326 4.350
Li 2.925 9.845 1.283
Li 2.925 9.911 4.350
Li 3.113 3.260 1.785
Li 3.113 3.326 4.852
Li 5.944 9.845 1.785
Li 5.944 9.911 4.852
Ca 1.504 7.502 3.005
Ca 1.504 12.255 6.073
Ca 1.515 0.916 3.005
Ca 1.515 5.669 6.073
Ca 4.523 7.502 0.062
Ca 4.523 12.255 3.129
Ca 4.534 0.916 0.062
Ca 4.534 5.669 3.129
B 1.509 1.951 6.022
B 1.509 4.634 2.955
B 1.510 8.536 6.022
B 1.510 11.220 2.955
B 4.528 1.951 3.180
B 4.528 4.634 0.112
B 4.529 8.536 3.180
B 4.529 11.220 0.112
O 0.603 7.836 5.236
O 0.603 11.920 2.169
O 0.704 1.251 0.781
O 0.704 5.334 3.848
O 1.408 3.264 2.849
O 1.408 3.321 5.916
O 1.611 9.850 2.849
O 1.611 9.907 5.916
O 2.315 7.837 0.781
O 2.315 11.920 3.848
O 2.416 1.251 5.236
O 2.416 5.335 2.169
O 3.622 7.836 3.966
O 3.622 11.920 0.898
O 3.723 1.251 2.286
O 3.723 5.334 5.354
O 4.427 3.264 0.219
O 4.427 3.321 3.286
O 4.630 9.850 0.219
O 4.630 9.907 3.286
O 5.334 7.837 2.286
O 5.334 11.920 5.354
O 5.435 1.251 3.966
O 5.435 5.335 0.898
```

As for the uncorrected formation energy: -2.91 eV/atom.

---

A plane-wave DFT calculation with SCAN was carried out for a crystal of La2CoSb relaxed with PBEsol.

Geometry as extended XYZ:
```
4
Lattice="2.130 1.229 6.999 -2.130 1.229 6.999 0.000 -2.459 6.999" Properties=species:S:1:pos:R:3 pbc="T T T"
La 0.000 0.000 4.970
La 0.000 0.000 16.028
Co 0.000 0.000 10.499
Sb 0.000 0.000 0.000
```

As for the uncorrected formation energy: -0.35 eV/atom.

---

A plane-wave DFT calculation with SCAN was carried out for a crystal of NbPCl2 relaxed with PBEsol.

Geometry as extended XYZ:
```
4
Lattice="1.523 0.879 9.042 -1.523 0.879 9.042 0.000 -1.758 9.042" Properties=species:S:1:pos:R:3 pbc="T T T"
Nb 0.000 0.000 0.000
P 0.000 0.000 13.562
Cl 0.000 0.000 2.338
Cl 0.000 0.000 24.787
```

As for the uncorrected formation energy: 0.30 eV/atom.

---

A plane-wave DFT calculation with SCAN was carried out for a crystal of Cr2RePb relaxed with PBEsol.

Geometry as extended XYZ:
```
4
Lattice="4.414 -1.494 0.000 4.414 1.494 0.000 -0.911 0.000 4.767" Properties=species:S:1:pos:R:3 pbc="T T T"
Cr 1.955 0.000 0.823
Cr 5.961 0.000 3.944
Re 4.414 0.000 0.000
Pb -0.455 0.000 2.384
```

Its formation energy is 0.774 eV/atom.

---

A plane-wave DFT calculation with SCAN was carried out for a crystal of TlCd3 relaxed with PBEsol.

Geometry as extended XYZ:
```
4
Lattice="-1.548 5.355 2.778 1.548 -5.355 2.778 1.548 5.355 -2.778" Properties=species:S:1:pos:R:3 pbc="T T T"
Tl 0.000 0.000 0.000
Cd 1.548 2.813 -0.576
Cd 0.000 5.355 0.049
Cd 0.000 2.542 2.202
```

Its formation energy is 0.072 eV/atom.

---

A plane-wave DFT calculation with SCAN was carried out for a crystal of Ba2RuCl relaxed with PBEsol.

Geometry as extended XYZ:
```
4
Lattice="-2.130 2.130 6.039 2.130 -2.130 6.039 2.130 2.130 -6.039" Properties=species:S:1:pos:R:3 pbc="T T T"
Ba 0.000 0.000 0.000
Ba 0.000 2.130 3.020
Ru 2.130 0.000 3.020
Cl 0.000 0.000 6.039
```

As for the uncorrected formation energy: -0.23 eV/atom.